Record 1
Compound: SrSmAgTe2Se
Source: OQMD
Functional: PBE
Structure: relaxed

Unit cell a=7.7281 b=7.7281 c=10.9136 alpha=90.00 beta=90.00 gamma=147.47
With the nearest neighbours (Å) after each atom.
Fractional positions:
Te1 0.3511 0.6489 0.4428  1 Ag 2.79
Sr1 0.7367 0.2633 0.2500  2 Se 3.15, 4 Te 3.46
Se1 0.9176 0.0824 0.7500  2 Ag 2.69, 2 Sm 2.99
Sm1 0.0000 0.0000 0.0000  2 Se 2.99, 4 Te 3.16
Ag1 0.4746 0.5254 0.2500  2 Se 2.69, 2 Te 2.79
Te2 0.6489 0.3511 0.5572  1 Ag 2.79
Se2 0.0824 0.9176 0.2500  2 Ag 2.69, 2 Sm 2.99
Te3 0.3511 0.6489 0.0572  1 Ag 2.79
Sr2 0.2633 0.7367 0.7500  2 Se 3.15, 4 Te 3.46
Te4 0.6489 0.3511 0.9428  1 Ag 2.79
Sm2 0.0000 0.0000 0.5000  2 Se 2.99, 4 Te 3.16
Ag2 0.5254 0.4746 0.7500  2 Se 2.69, 2 Te 2.79

***

Record 2
Compound: SmTmAgSe3
Source: OQMD
Functional: PBE
Structure: relaxed

Unit cell a=7.7718 b=4.0197 c=9.5700 alpha=90.00 beta=105.58 gamma=90.00
With the nearest neighbours (Å) after each atom.
Fractional positions:
Se1 0.0814 0.2500 0.3628  3 Tm 2.87-2.88, 2 Sm 3.06
Tm1 0.1930 0.2500 0.6742  6 Se 2.82-2.88
Se2 0.8502 0.7500 0.0425  1 Tm 2.82, 2 Ag 2.84, 3 Sm 3.04-3.12
Se3 0.1498 0.2500 0.9575  1 Tm 2.82, 2 Ag 2.84, 3 Sm 3.04-3.12
Ag1 0.3931 0.7500 0.9218  3 Se 2.67-2.84, 2 Ag 2.78
Se4 0.4491 0.7500 0.6586  1 Ag 2.67, 2 Tm 2.86
Se5 0.5509 0.2500 0.3414  1 Ag 2.67, 2 Tm 2.86
Ag2 0.6069 0.2500 0.0782  3 Se 2.67-2.84, 2 Ag 2.78
Se6 0.9186 0.7500 0.6372  3 Tm 2.87-2.88, 2 Sm 3.06
Sm1 0.7428 0.2500 0.7963  7 Se 3.04-3.12, 1 Ag 3.15
Sm2 0.2572 0.7500 0.2037  7 Se 3.04-3.12, 1 Ag 3.15
Tm2 0.8070 0.7500 0.3258  6 Se 2.82-2.88

***

| no. | energy (eV/atom) |
| --- | --- |
| 1 | -4.48 |
| 2 | -5.15 |